Record 1
Density functional theory data (GGA-PBE) for a geometry-optimized TbSm3Ir8 structure.

Energy relative to the elements ... -0.758 eV per atom
Total DFT energy (no corrections) ... -8.2307 eV/atom
Total magnetization ... 0.0 μB/cell
Symmetry ... R3m, No. 160

Cell lengths 5.402, 5.402, 9.349 Å; angles 73.21, 73.21, 60.00 degrees
Fractional positions:
1 Ir 0.437 0.937 0.189
2 Ir 0.938 0.938 0.686
3 Ir 0.937 0.437 0.189
4 Ir 0.437 0.437 0.189
5 Ir 0.188 0.188 0.437
6 Ir 0.688 0.688 0.937
7 Ir 0.938 0.438 0.686
8 Ir 0.438 0.938 0.686
9 Sm 0.000 0.000 0.001
10 Sm 0.375 0.375 0.875
11 Sm 0.500 0.500 0.500
12 Tb 0.875 0.875 0.375



Record 2
Density functional theory data (GGA-PBE) for a geometry-optimized Cs2K3Br4 structure.

Total DFT energy (no corrections) ... -2.8215 eV/atom
Total magnetization ... 0.2 μB/cell
Symmetry ... C2/m, No. 12
E_form (uncorrected) ... -1.522 eV per atom

Cell lengths 4.846, 8.556, 11.299 Å; angles 75.13, 77.62, 73.55 degrees
Fractional positions:
1 K 0.794 0.593 0.820
2 K 0.206 0.407 0.180
3 K 0.000 0.000 0.000
4 Cs 0.399 0.804 0.399
5 Cs 0.601 0.196 0.601
6 Br 0.602 0.703 0.093
7 Br 0.203 0.872 0.722
8 Br 0.398 0.297 0.907
9 Br 0.797 0.128 0.278



Record 3
Density functional theory data (GGA-PBE) for a geometry-optimized CaTc2Te structure.

Total DFT energy (no corrections) ... -6.2254 eV/atom
Total magnetization ... 0.0 μB/cell
Symmetry ... C2/m, No. 12
E_form (uncorrected) ... 0.243 eV per atom

Cell lengths 5.317, 5.317, 4.920 Å; angles 72.91, 72.91, 42.34 degrees
Fractional positions:
1 Ca 0.250 0.250 0.250
2 Tc 0.018 0.018 0.879
3 Tc 0.482 0.482 0.621
4 Te 0.750 0.750 0.750



Record 4
Density functional theory data (GGA-PBE) for a geometry-optimized NbGePC2 structure.

Energy relative to the elements ... 1.821 eV per atom
Total DFT energy (no corrections) ... -5.8878 eV/atom
Total magnetization ... 0.2 μB/cell
Symmetry ... P4/mmm, No. 123

Cell lengths 3.805, 4.955, 3.805 Å; angles 90.00, 90.00, 90.00 degrees
Each line ends with the local moment (μB).
Fractional positions:
1 C 0.500 0.000 0.000  0.02
2 C 0.000 0.000 0.500  0.02
3 Ge 0.000 0.000 0.000  0.00
4 Nb 0.500 0.500 0.500  -0.30
5 P 0.000 0.500 0.000  0.02



Record 5
Density functional theory data (GGA-PBE) for a geometry-optimized YMnCo structure.

Energy relative to the elements ... 0.104 eV per atom
Total DFT energy (no corrections) ... -7.4757 eV/atom
Energy relative to the lowest polymorph listed for this composition ... 173 meV per atom
Total magnetization ... 5.0 μB/cell
Symmetry ... I4mm, No. 107

Cell lengths 5.502, 5.502, 3.297 Å; angles 72.57, 72.56, 34.87 degrees
Each line ends with the local moment (μB).
Fractional positions:
1 Y 0.660 0.660 0.340  -0.09
2 Co 0.972 0.972 0.028  1.54
3 Mn 0.368 0.368 0.632  3.50



Record 6
Density functional theory data (GGA-PBE) for a geometry-optimized RbSrCu2I6 structure.

Total DFT energy (no corrections) ... -2.8386 eV/atom
Total magnetization ... 0.0 μB/cell
Symmetry ... R-3, No. 148
E_form (uncorrected) ... -0.824 eV per atom

Cell lengths 7.692, 7.692, 10.479 Å; angles 68.47, 68.47, 60.00 degrees
Fractional positions:
1 Sr 0.500 0.500 0.500
2 Cu 0.762 0.762 0.713
3 Cu 0.238 0.238 0.287
4 I 0.911 0.565 0.279
5 I 0.089 0.435 0.721
6 I 0.245 0.911 0.279
7 I 0.435 0.755 0.721
8 I 0.565 0.245 0.279
9 I 0.755 0.089 0.721
10 Rb 0.000 0.000 0.000



Q: Among the records above, which one has the highest total DFT energy (no corrections)?
A: Cs2K3Br4



Copy entry 3 word for word.
Density functional theory data (GGA-PBE) for a geometry-optimized CaTc2Te structure.

Total DFT energy (no corrections) ... -6.2254 eV/atom
Total magnetization ... 0.0 μB/cell
Symmetry ... C2/m, No. 12
E_form (uncorrected) ... 0.243 eV per atom

Cell lengths 5.317, 5.317, 4.920 Å; angles 72.91, 72.91, 42.34 degrees
Fractional positions:
1 Ca 0.250 0.250 0.250
2 Tc 0.018 0.018 0.879
3 Tc 0.482 0.482 0.621
4 Te 0.750 0.750 0.750



Copy entry 5 word for word.
Density functional theory data (GGA-PBE) for a geometry-optimized YMnCo structure.

Energy relative to the elements ... 0.104 eV per atom
Total DFT energy (no corrections) ... -7.4757 eV/atom
Energy relative to the lowest polymorph listed for this composition ... 173 meV per atom
Total magnetization ... 5.0 μB/cell
Symmetry ... I4mm, No. 107

Cell lengths 5.502, 5.502, 3.297 Å; angles 72.57, 72.56, 34.87 degrees
Each line ends with the local moment (μB).
Fractional positions:
1 Y 0.660 0.660 0.340  -0.09
2 Co 0.972 0.972 0.028  1.54
3 Mn 0.368 0.368 0.632  3.50



Q: Among the records above, which one has the highest total DFT energy (no corrections)?
A: Cs2K3Br4